<one>
La3ErCo: relaxed, PBE-GGA.

```
La3ErCo
1.0
-2.946 -1.577 -1.689
-0.046 -6.204 1.723
-8.883 1.961 9.514
Er La Co
2 6 2
Cartesian
-2.721 -2.770 3.183 Er
-0.757 -3.714 0.638 Er
-5.860 -3.468 5.160 La
-5.911 0.053 6.111 La
-10.944 -0.525 7.130 La
-9.101 -3.919 7.084 La
-5.759 -0.845 2.534 La
-2.657 -6.513 2.415 La
-8.337 -1.311 7.466 Co
-3.407 -2.968 0.414 Co
```

Values from the calculation:
Mass density: 7.10 g cm⁻³



<two>
La3ErCo: relaxed, PBE-GGA.

```
La3ErCo
1.0
5.463 0.000 0.000
0.000 5.463 0.000
0.000 0.000 5.463
La Er Co
3 1 1
Cartesian
2.732 0.000 0.000 La
0.000 0.000 2.732 La
0.000 2.732 0.000 La
2.732 2.732 2.732 Er
0.000 0.000 0.000 Co
```

Values from the calculation:
Mass density: 6.55 g cm⁻³



<one> wins, 11.6 kJ/mol of atoms ahead of the next structure.